Run 1
Entry from Alexandria: an optimized crystal structure of LaV2Ni (PBE).

a b c (Å): 4.2002 4.2002 18.8453
angles (deg): 90.00 90.00 90.00
Last column: nearest neighbours and their distance in Å.
Space group I-42d (No. 122)
Symmetry-distinct sites (fractional):
La: 0.0000 0.0000 0.0000 (multiplicity 4)  4 Ni 2.97, 4 V 3.27
V: 0.0215 0.2500 0.6250 (multiplicity 8)  2 V 2.11
Ni: 0.0000 0.0000 0.5000 (multiplicity 4)  4 V 2.58

Computed properties:
* magnetic moment: 0.00 μB per formula unit
* theoretical density: 5.983 g/cm³
* calculated volume: 332 Å³/cell


Run 2
Entry from Alexandria: an optimized crystal structure of LaV2Ni (PBE).

a b c (Å): 6.3073 6.3073 6.3073
angles (deg): 90.00 90.00 90.00
Last column: nearest neighbours and their distance in Å.
Space group Fm-3m (No. 225)
Symmetry-distinct sites (fractional):
La: 0.0000 0.0000 0.0000 (multiplicity 4)  8 V 2.73
V: 0.2500 0.2500 0.2500 (multiplicity 8)  4 La 2.73, 4 Ni 2.73
Ni: 0.0000 0.0000 0.5000 (multiplicity 4)  8 V 2.73

Computed properties:
* magnetic moment: 0.03 μB per formula unit
* theoretical density: 7.928 g/cm³
* calculated volume: 251 Å³/cell


Need the numbers? Relative energies in kJ/mol of atoms: run 1 6.2; run 2 0.0.


Run 1
Entry from Alexandria: an optimized crystal structure of LaVNi2 (PBE).

a b c (Å): 4.6968 4.6968 15.3189
angles (deg): 90.00 90.00 90.00
Last column: nearest neighbours and their distance in Å.
Space group I-42d (No. 122)
Symmetry-distinct sites (fractional):
La: 0.0000 0.0000 0.0000 (multiplicity 4)  8 Ni 3.14-3.36, 4 V 3.32
V: 0.0000 0.0000 0.5000 (multiplicity 4)  4 Ni 2.25
Ni: 0.0321 0.2500 0.6250 (multiplicity 8)  2 V 2.25, 2 Ni 2.37

Computed properties:
* magnetic moment: 1.13 μB per formula unit
* theoretical density: 6.039 g/cm³
* calculated volume: 338 Å³/cell


Run 2
Entry from Alexandria: an optimized crystal structure of LaVNi2 (PBE).

a b c (Å): 6.5572 6.5572 6.5572
angles (deg): 90.00 90.00 90.00
Last column: nearest neighbours and their distance in Å.
Space group Fm-3m (No. 225)
Symmetry-distinct sites (fractional):
La: 0.0000 0.0000 0.0000 (multiplicity 4)  8 Ni 2.84
V: 0.0000 0.0000 0.5000 (multiplicity 4)  8 Ni 2.84
Ni: 0.2500 0.2500 0.2500 (multiplicity 8)  4 La 2.84, 4 V 2.84

Computed properties:
* magnetic moment: 3.23 μB per formula unit
* theoretical density: 7.238 g/cm³
* calculated volume: 282 Å³/cell


Need the numbers? Relative energies in kJ/mol of atoms: run 1 8.1; run 2 0.0.


Run 1
Entry from Alexandria: an optimized crystal structure of LaNi3W (PBE).

a b c (Å): 4.5460 4.5460 4.5460
angles (deg): 90.00 90.00 90.00
Last column: nearest neighbours and their distance in Å.
Space group Pm-3m (No. 221)
Symmetry-distinct sites (fractional):
La: 0.0000 0.0000 0.0000 (multiplicity 1)  6 Ni 2.27
Ni: 0.0000 0.0000 0.5000 (multiplicity 3)  2 La 2.27
W: 0.5000 0.5000 0.5000 (multiplicity 1)  12 Ni 3.21

Computed properties:
* magnetic moment: 0.00 μB per formula unit
* theoretical density: 8.817 g/cm³
* calculated volume: 94 Å³/cell


Run 2
Entry from Alexandria: an optimized crystal structure of LaNi3W (PBE).

a b c (Å): 4.6252 4.6252 4.6252
angles (deg): 90.00 90.00 90.00
Last column: nearest neighbours and their distance in Å.
Space group Pm-3m (No. 221)
Symmetry-distinct sites (fractional):
La: 0.0000 0.0000 0.0000 (multiplicity 1)  12 Ni 3.27
Ni: 0.0000 0.5000 0.5000 (multiplicity 3)  2 W 2.31
W: 0.5000 0.5000 0.5000 (multiplicity 1)  6 Ni 2.31

Computed properties:
* magnetic moment: 0.00 μB per formula unit
* theoretical density: 8.372 g/cm³
* calculated volume: 99 Å³/cell


Need the numbers? Relative energies in kJ/mol of atoms: run 1 131.2; run 2 0.0.